Computed, not measured: crystalline Ag2BiI2 at its relaxed geometry at the PBE level of DFT.

Cell: 8.9186 8.9186 3.8348 Å, 90.00 90.00 90.00°
Sites, in units of the cell vectors:
Ag: 0.1115 0.3885 0.0000
Ag: 0.3885 0.8885 0.0000
Ag: 0.6115 0.1115 0.0000
Ag: 0.8885 0.6115 0.0000
Bi: 0.0000 0.0000 0.5000
Bi: 0.5000 0.5000 0.5000
I: 0.1968 0.6968 0.5000
I: 0.3032 0.1968 0.5000
I: 0.6968 0.8032 0.5000
I: 0.8032 0.3032 0.5000

Summary:
The value obtained for the uncorrected formation energy is 0.2666 eV/atom. For the energy above the most stable polymorph in this dataset, the calculation gives 53 meV/atom. As for the space group: P4/mbm, No. 127. The density of states at the Fermi level comes out at 2.79 states/eV/f.u. As for the density: 7.4 Mg/m³.